Cs2Np2InS6 | PBE-GGA | relaxed

## Properties
V, Å³/f.u.: 348
Calculated density, g cm⁻³: 5.00
Energy relative to the elements, uncorrected, eV per atom: -1.17
E_tot, eV/atom: -6.182

```
data_Cs2Np2InS6
_chemical_formula_sum 'Cs2 Np2 In1 S6'
_symmetry_space_group_name_H-M 'P 1'
_symmetry_Int_Tables_number 1
_cell_length_a 6.992
_cell_length_b 6.992
_cell_length_c 8.525
_cell_angle_alpha 97.59
_cell_angle_beta 97.59
_cell_angle_gamma 120.08
loop_
_symmetry_equiv_pos_as_xyz
'x,y,z'
loop_
_atom_site_label
_atom_site_type_symbol
_atom_site_fract_x
_atom_site_fract_y
_atom_site_fract_z
Cs1 Cs 0.164 0.836 0.000
Cs2 Cs 0.836 0.164 0.000
Np1 Np 0.333 0.667 0.500
Np2 Np 0.667 0.333 0.500
In1 In 0.000 0.000 0.500
S1 S 0.056 0.393 0.675
S2 S 0.274 0.274 0.327
S3 S 0.393 0.056 0.675
S4 S 0.607 0.944 0.325
S5 S 0.726 0.726 0.673
S6 S 0.944 0.607 0.325
```